VASP calculation (PBE) on a relaxed TiInGeMo2 crystal.

Cell: 4.6775 4.6775 5.2475 Å, 90.00 90.00 90.00°
Last column: nearest neighbours and their distance in Å.
Element x y z (fractional)
Ti (0.0000, 0.0000, 0.0000)  4 Mo 2.34
In (0.0000, 0.0000, 0.5000)  2 Ti 2.62
Ge (0.5000, 0.5000, 0.5000)  4 In 3.31, 8 Mo 3.51
Mo (0.0000, 0.5000, 0.0000)  2 Ti 2.34
Mo (0.5000, 0.0000, 0.0000)  2 Ti 2.34

Calculated values
**ρ**: 6.18 g/cm3
**Relative energy among the computed polymorphs**: 0.00 eV/f.u.
**Formation energy from the elements**: 1.379 eV/atom
**Symmetry**: No. 123


VASP calculation (PBE) on a relaxed InGeMo2W crystal.

Cell: 4.6430 4.6430 4.6451 Å, 90.00 90.00 90.00°
Last column: nearest neighbours and their distance in Å.
Element x y z (fractional)
In (0.0000, 0.0000, 0.0000)  4 W 3.28, 8 Mo 3.28
Ge (0.5000, 0.5000, 0.5000)  4 Mo 2.32, 2 W 2.32
Mo (0.0000, 0.5000, 0.5000)  2 Ge 2.32
Mo (0.5000, 0.0000, 0.5000)  2 Ge 2.32
W (0.5000, 0.5000, 0.0000)  2 Ge 2.32

Calculated values
**ρ**: 9.34 g/cm3
**Formation energy from the elements**: 1.287 eV/atom
**Symmetry**: No. 123


VASP calculation (PBE) on a relaxed YInGe2Mo crystal.

Cell: 5.1899 5.1899 5.5467 Å, 90.00 90.00 90.00°
Last column: nearest neighbours and their distance in Å.
Element x y z (fractional)
Y (0.0000, 0.0000, 0.0000)  4 Ge 2.59, 2 In 2.77
In (0.0000, 0.0000, 0.5000)  2 Y 2.77
Ge (0.0000, 0.5000, 0.0000)  2 Y 2.59
Ge (0.5000, 0.0000, 0.0000)  2 Y 2.59
Mo (0.5000, 0.5000, 0.5000)  4 In 3.67, 8 Ge 3.80

Calculated values
**ρ**: 4.95 g/cm3
**Relative energy among the computed polymorphs**: 7.50 eV/f.u.
**Formation energy from the elements**: 1.642 eV/atom
**Symmetry**: No. 123


VASP calculation (PBE) on a relaxed YInGeMo2 crystal.

Cell: 5.0839 5.0839 5.4938 Å, 90.00 90.00 90.00°
Last column: nearest neighbours and their distance in Å.
Element x y z (fractional)
Y (0.0000, 0.0000, 0.0000)  2 In 2.75
In (0.0000, 0.0000, 0.5000)  4 Mo 2.54, 2 Y 2.75
Ge (0.5000, 0.5000, 0.0000)  4 Y 3.59, 8 Mo 3.74
Mo (0.0000, 0.5000, 0.5000)  2 In 2.54
Mo (0.5000, 0.0000, 0.5000)  2 In 2.54

Calculated values
**ρ**: 5.48 g/cm3
**Formation energy from the elements**: 1.623 eV/atom
**Symmetry**: No. 123


VASP calculation (PBE) on a relaxed YInGe2Mo crystal.

Cell: 4.8536 4.8536 5.2236 Å, 90.00 90.00 90.00°
Last column: nearest neighbours and their distance in Å.
Element x y z (fractional)
Y (0.0000, 0.0000, 0.0000)  4 In 3.43, 8 Ge 3.57
In (0.5000, 0.5000, 0.0000)  2 Mo 2.61
Ge (0.0000, 0.5000, 0.5000)  2 Mo 2.43
Ge (0.5000, 0.0000, 0.5000)  2 Mo 2.43
Mo (0.5000, 0.5000, 0.5000)  4 Ge 2.43, 2 In 2.61

Calculated values
**ρ**: 6.00 g/cm3
**Relative energy among the computed polymorphs**: 0.00 eV/f.u.
**Formation energy from the elements**: 0.142 eV/atom
**Symmetry**: No. 123


VASP calculation (PBE) on a relaxed Zn2InGeMo crystal.

Cell: 4.9060 4.9060 5.2124 Å, 90.00 90.00 90.00°
Last column: nearest neighbours and their distance in Å.
Element x y z (fractional)
Zn (0.0000, 0.5000, 0.0000)  2 Mo 2.45
Zn (0.5000, 0.0000, 0.0000)  2 Mo 2.45
In (0.0000, 0.0000, 0.5000)  2 Mo 2.61
Ge (0.5000, 0.5000, 0.5000)  4 In 3.47, 8 Zn 3.58
Mo (0.0000, 0.0000, 0.0000)  4 Zn 2.45, 2 In 2.61

Calculated values
**ρ**: 5.48 g/cm3
**Formation energy from the elements**: 0.965 eV/atom
**Symmetry**: No. 123


VASP calculation (PBE) on a relaxed InGeN3 crystal.

Cell: 3.8396 3.8396 3.8396 Å, 90.00 90.00 90.00°
Last column: nearest neighbours and their distance in Å.
Element x y z (fractional)
In (0.0000, 0.0000, 0.0000)  12 N 2.71
Ge (0.5000, 0.5000, 0.5000)  6 N 1.92
N (0.0000, 0.5000, 0.5000)  2 Ge 1.92
N (0.5000, 0.0000, 0.5000)  2 Ge 1.92
N (0.5000, 0.5000, 0.0000)  2 Ge 1.92

Calculated values
**ρ**: 6.73 g/cm3
**Uncorrected formation energy**: 122.8 kJ per mole of atoms
**Symmetry**: No. 221


VASP calculation (PBE) on a relaxed InGeN2 crystal.

Cell: 5.7806 5.7806 5.7806 Å, 128.33 128.33 76.10°
Last column: nearest neighbours and their distance in Å.
Element x y z (fractional)
In (0.0000, 0.0000, 0.0000)  4 N 2.33
In (0.7500, 0.2500, 0.5000)  4 N 2.33
Ge (0.2500, 0.7500, 0.5000)  4 N 1.93
Ge (0.5000, 0.5000, 0.0000)  4 N 1.93
N (0.1928, 0.6250, 0.0678)  2 Ge 1.93
N (0.3750, 0.4428, 0.5678)  2 Ge 1.93
N (0.5572, 0.1250, 0.9322)  2 Ge 1.93
N (0.8750, 0.8072, 0.4322)  2 Ge 1.93

Calculated values
**ρ**: 6.19 g/cm3
**Relative energy among the computed polymorphs**: 0.25 eV/f.u.
**Uncorrected formation energy**: 27.1 kJ per mole of atoms
**Symmetry**: No. 122


Q: Among the records above, which one has the highest ρ?
A: InGeMo2W


Q: Among the records above, which one has the highest ρ?
A: InGeMo2W